ScCu2Re, relaxed, DFT PBE; Fermi-level density of states = 3.75 states/eV/f.u.; ΔE to the lowest computed polymorph = 0.118 eV/atom; total DFT energy (no corrections) = -26.1 eV/f.u.; calculated formation energy = 0.8 eV/f.u.
1.0
-1.519 2.175 4.555
1.519 -2.175 4.555
1.519 2.175 -4.555
Sc Cu Re
1 2 1
Cartesian
0.000 0.000 0.000
1.519 0.000 2.385
0.000 2.175 2.169
0.000 0.000 4.555

TaCuTe, relaxed, DFT PBE; Fermi-level density of states = 3.23 states/eV/f.u.; ΔE to the lowest computed polymorph = 0.543 eV/atom; total DFT energy (no corrections) = -16.8 eV/f.u.; formation energy without anion corrections = 217 kJ/mol of formula units
1.0
0.000 3.164 3.164
3.164 0.000 3.164
3.164 3.164 0.000
Ta Cu Te
1 1 1
Cartesian
0.000 0.000 0.000
3.164 3.164 3.164
1.582 1.582 1.582

La4SiGeSe2, relaxed, DFT PBE; Fermi-level density of states = 2.69 states/eV/f.u.; total DFT energy (no corrections) = -47.9 eV/f.u.; formation energy without anion corrections = -1080 kJ/mol of formula units
1.0
-4.383 4.388 6.203
4.383 -4.388 6.203
4.383 4.388 -6.203
La Si Ge Se
8 2 2 4
Cartesian
0.000 0.062 3.068
2.143 2.194 0.045
2.240 -2.194 6.247
4.383 0.062 3.135
0.000 4.326 3.068
2.143 6.583 -0.045
2.240 2.194 6.158
4.383 4.326 3.135
-2.192 2.194 3.101
2.192 2.194 3.101
0.000 0.000 0.000
0.000 4.388 0.000
2.192 2.194 -3.101
2.192 -2.194 3.101
4.383 0.000 0.000
0.000 0.000 6.203

La2TiGa4Pt3, relaxed, DFT PBE; Fermi-level density of states = 6.31 states/eV/f.u.; total DFT energy (no corrections) = -56.8 eV/f.u.; calculated formation energy = -8.8 eV/f.u.
1.0
4.245 0.000 0.000
0.000 4.245 0.000
0.000 0.000 11.153
La Ti Ga Pt
2 1 4 3
Cartesian
0.000 2.122 2.750
2.122 0.000 8.403
0.000 0.000 5.577
0.000 0.000 0.000
0.000 2.122 7.145
2.122 0.000 4.009
2.122 2.122 0.000
0.000 2.122 9.691
2.122 0.000 1.463
2.122 2.122 5.577

Ce2Dy2S5, relaxed, DFT PBE; Fermi-level density of states = 14.06 states/eV/f.u.; total DFT energy (no corrections) = -59.1 eV/f.u.; formation energy without anion corrections = -1674 kJ/mol of formula units
1.0
7.043 -3.752 0.000
7.043 3.752 0.000
0.000 0.000 7.481
Ce Dy S
4 4 10
Cartesian
2.794 0.000 0.000
4.249 0.000 3.741
9.838 0.000 3.741
11.292 0.000 0.000
7.043 2.581 4.927
7.043 1.170 1.186
7.043 -1.170 6.295
7.043 -2.581 2.555
0.000 0.000 0.000
5.171 2.576 2.604
5.171 1.176 6.345
8.916 2.576 2.604
8.916 1.176 6.345
7.043 0.000 3.741
5.171 -1.176 1.137
5.171 -2.576 4.877
8.916 -1.176 1.137
8.916 -2.576 4.877

LaMgIr2, relaxed, DFT PBE; Fermi-level density of states = 1.64 states/eV/f.u.; total DFT energy (no corrections) = -24.0 eV/f.u.; calculated formation energy = 0.2 eV/f.u.
1.0
1.579 0.911 8.827
-1.579 0.911 8.827
0.000 -1.823 8.827
La Mg Ir
1 1 2
Cartesian
0.000 0.000 0.000
0.000 0.000 13.240
0.000 0.000 6.462
0.000 0.000 20.019

LaTb3Y12, relaxed, DFT PBE; Fermi-level density of states = 23.59 states/eV/f.u.; total DFT energy (no corrections) = -96.0 eV/f.u.; calculated formation energy = 0.4 eV/f.u.
1.0
5.064 0.000 0.000
0.000 5.064 0.000
0.000 0.000 20.287
La Tb Y
1 3 12
Cartesian
0.000 0.000 0.000
0.000 0.000 5.100
0.000 0.000 10.143
0.000 0.000 15.187
0.000 2.532 2.597
0.000 2.532 7.628
0.000 2.532 12.659
0.000 2.532 17.689
2.532 0.000 2.597
2.532 0.000 7.628
2.532 0.000 12.659
2.532 0.000 17.689
2.532 2.532 0.000
2.532 2.532 5.121
2.532 2.532 10.143
2.532 2.532 15.166

CaIn2PbO6, relaxed, DFT PBE; total DFT energy (no corrections) = -57.5 eV/f.u.; formation energy without anion corrections = -1598 kJ/mol of formula units
1.0
2.845 1.643 5.014
-2.845 1.643 5.014
0.000 -3.286 5.014
Ca In Pb O
1 2 1 6
Cartesian
0.000 0.000 0.000
0.000 0.000 4.222
0.000 0.000 11.760
0.000 0.000 7.381
-1.630 -0.137 5.817
-1.116 -1.675 8.271
0.934 -1.343 5.817
-0.893 1.804 8.271
0.696 1.480 5.817
2.009 -0.129 8.271

Hf5SbP, relaxed, DFT PBE; Fermi-level density of states = 5.48 states/eV/f.u.; total DFT energy (no corrections) = -61.5 eV/f.u.; formation energy without anion corrections = -214 kJ/mol of formula units
1.0
5.050 -3.106 0.000
5.050 3.106 0.000
-2.924 0.000 9.660
Hf Sb P
10 2 2
Cartesian
0.336 1.092 6.201
2.857 2.674 7.245
0.926 0.903 9.308
1.798 -1.092 1.371
4.788 0.903 5.182
2.388 -0.903 4.478
5.378 1.092 8.289
6.250 -0.903 0.352
4.319 -2.674 2.415
6.840 -1.092 3.459
4.319 0.360 2.415
2.857 -0.360 7.245
0.000 0.000 0.000
-1.462 0.000 4.830

NdSmO2, relaxed, DFT PBE; Fermi-level density of states = 1.44 states/eV/f.u.; ΔE to the lowest computed polymorph = 0.022 eV/atom; total DFT energy (no corrections) = -30.4 eV/f.u.; formation energy without anion corrections = -1057 kJ/mol of formula units
1.0
-2.503 2.503 5.010
2.503 -2.503 5.010
2.503 2.503 -5.010
Nd Sm O
2 2 4
Cartesian
2.503 1.252 1.253
0.000 1.252 3.758
2.503 -1.252 3.758
0.000 3.755 1.253
2.503 1.252 -1.285
0.000 1.252 1.220
2.503 1.252 3.790
0.000 1.252 6.295

BaPaBi2O8, relaxed, DFT PBE; Fermi-level density of states = 3.74 states/eV/f.u.; total DFT energy (no corrections) = -80.6 eV/f.u.; formation energy without anion corrections = -2099 kJ/mol of formula units
1.0
-3.896 3.896 3.617
3.896 -3.896 3.617
3.896 3.896 -3.617
Ba Pa Bi O
1 1 2 8
Cartesian
0.000 0.000 0.000
0.000 3.896 1.809
3.896 0.000 1.809
0.000 0.000 3.617
2.553 0.000 0.282
5.240 0.000 0.282
3.896 2.163 -1.319
3.896 -1.344 3.335
0.000 1.734 2.298
3.896 1.344 3.335
2.163 3.896 1.319
1.734 0.000 4.936

Sr2Cd4Pd, relaxed, DFT PBE; Fermi-level density of states = 4.93 states/eV/f.u.; total DFT energy (no corrections) = -13.6 eV/f.u.; calculated formation energy = -1.4 eV/f.u.
1.0
-2.596 2.596 8.454
2.596 -2.596 8.454
2.596 2.596 -8.454
Sr Cd Pd
2 4 1
Cartesian
0.000 0.000 2.427
0.000 0.000 14.480
2.596 0.000 0.000
0.000 0.000 5.758
0.000 2.596 0.000
0.000 0.000 11.149
0.000 0.000 8.454

Among the records above, which one has the highest total DFT energy (no corrections)?
Sr2Cd4Pd